Record 1
! Ba2ReIr, relaxed, DFT PBEsol; values from VASP
! * crystal system: cubic
! * distance to the lowest polymorph of the same formula: 857.0 meV per atom
! * symmetry: Fm-3m, No. 225
! * magnetization: 0.911 μB per atom
! * Fermi-level density of states: 5.62 states/eV per cell
&SYSTEM
  ibrav = 0, nat = 4, ntyp = 3
/
ATOMIC_SPECIES
Re 186.21 Re.upf
Ir 192.22 Ir.upf
Ba 137.33 Ba.upf
CELL_PARAMETERS angstrom
5.328 0.000 0.000
2.664 4.614 0.000
2.664 1.538 4.350
ATOMIC_POSITIONS crystal
Re 0.500 0.500 0.500
Ir 0.000 0.000 0.000
Ba 0.750 0.750 0.750
Ba 0.250 0.250 0.250

Record 2
! Li6Ti2O7, relaxed, DFT PBEsol; values from VASP
! * crystal system: orthorhombic
! * distance to the lowest polymorph of the same formula: 43.4 meV per atom
! * symmetry: Pmn2_1, No. 31
! * magnetization: 0.000 μB per atom
! * Fermi-level density of states: 0.00 states/eV per cell
&SYSTEM
  ibrav = 0, nat = 60, ntyp = 3
/
ATOMIC_SPECIES
O 16.00 O.upf
Ti 47.87 Ti.upf
Li 6.94 Li.upf
CELL_PARAMETERS angstrom
3.957 0.000 0.016
0.000 8.868 0.000
-0.066 0.000 16.484
ATOMIC_POSITIONS crystal
O 0.250 0.006 0.057
O 0.250 0.769 0.191
Ti 0.250 0.817 0.296
Li 0.750 0.276 0.425
O 0.250 0.023 0.304
Ti 0.750 0.993 0.046
O 0.750 0.506 0.443
O 0.750 0.522 0.196
Li 0.250 0.241 0.070
Li 0.250 0.069 0.680
Li 0.750 0.741 0.930
O 0.750 0.155 0.625
Li 0.750 0.741 0.430
Li 0.750 0.569 0.320
Li 0.750 0.742 0.186
O 0.250 0.022 0.804
Li 0.250 0.068 0.436
O 0.250 0.304 0.193
O 0.250 0.006 0.557
Li 0.750 0.568 0.564
Ti 0.750 0.317 0.204
O 0.250 0.287 0.946
O 0.250 0.304 0.693
Li 0.750 0.034 0.825
O 0.750 0.804 0.307
O 0.250 0.655 0.375
Li 0.250 0.242 0.814
Ti 0.750 0.317 0.704
O 0.250 0.541 0.559
Li 0.250 0.534 0.675
Li 0.750 0.034 0.325
Ti 0.250 0.493 0.454
Li 0.750 0.742 0.686
Li 0.750 0.568 0.064
O 0.750 0.269 0.309
O 0.750 0.788 0.554
Li 0.250 0.534 0.175
Ti 0.250 0.817 0.796
Li 0.750 0.569 0.820
O 0.750 0.506 0.943
Li 0.250 0.776 0.575
Li 0.250 0.242 0.314
O 0.250 0.655 0.875
O 0.750 0.804 0.807
O 0.750 0.269 0.809
Ti 0.250 0.493 0.954
O 0.250 0.541 0.059
O 0.750 0.787 0.054
Li 0.750 0.276 0.925
Li 0.250 0.776 0.075
O 0.750 0.041 0.441
O 0.750 0.523 0.696
Li 0.250 0.068 0.936
Ti 0.750 0.993 0.546
Li 0.250 0.241 0.570
O 0.750 0.155 0.125
O 0.750 0.041 0.941
Li 0.250 0.069 0.180
O 0.250 0.769 0.691
O 0.250 0.288 0.446

Record 3
! MnFeP2S, relaxed, DFT PBEsol; values from VASP
! * energy: -6.453 eV per atom
! * crystal system: tetragonal
! * symmetry: P4/mmm, No. 123
! * magnetization: 0.948 μB per atom
! * Fermi-level density of states: 2.60 states/eV per cell
&SYSTEM
  ibrav = 0, nat = 5, ntyp = 4
/
ATOMIC_SPECIES
P 30.97 P.upf
S 32.06 S.upf
Fe 55.84 Fe.upf
Mn 54.94 Mn.upf
CELL_PARAMETERS angstrom
4.097 0.000 0.000
0.000 4.097 0.000
0.000 0.000 5.052
ATOMIC_POSITIONS crystal
P 0.500 0.000 0.000
S 0.000 0.000 0.500
Fe 0.000 0.000 0.000
P 0.000 0.500 0.000
Mn 0.500 0.500 0.500